RbLa3Zr: relaxed, PBE.

Output
space group: Pm-3m, No. 221
E above lowest polymorph: 0.000 eV per atom
magnetization: 0.000 μB/f.u.
crystal system: cubic
energy of formation: 11.3 kcal/mol of atoms

abc: 6.0103 6.0103 6.0103
angles: 90.00 90.00 90.00
Last column: nearest neighbours and their distance in Å.
Fractional positions:
Rb1 0.0000 0.0000 0.0000  12 La 4.25
La1 0.0000 0.5000 0.5000  2 Zr 3.01
La2 0.5000 0.0000 0.5000  2 Zr 3.01
La3 0.5000 0.5000 0.0000  2 Zr 3.01
Zr1 0.5000 0.5000 0.5000  6 La 3.01

La6ZnI8: relaxed, PBE.

Output
space group: R-3, No. 148
magnetization: 0.000 μB/f.u.
crystal system: trigonal
formation energy (no corrections): -1171 meV per atom

abc: 12.5793 12.5793 12.5793
angles: 36.12 36.12 36.12
Last column: nearest neighbours and their distance in Å.
Fractional positions:
La1 0.1363 0.4489 0.7616  1 Zn 3.03, 5 I 3.23-3.36
La2 0.2384 0.8637 0.5511  1 Zn 3.03, 5 I 3.23-3.36
La3 0.4489 0.7616 0.1363  1 Zn 3.03, 5 I 3.23-3.36
La4 0.5511 0.2384 0.8637  1 Zn 3.03, 5 I 3.23-3.36
La5 0.7616 0.1363 0.4489  1 Zn 3.03, 5 I 3.23-3.36
La6 0.8637 0.5511 0.2384  1 Zn 3.03, 5 I 3.23-3.36
Zn1 0.5000 0.5000 0.5000  6 La 3.03
I1 0.0490 0.7342 0.3917  3 La 3.26-3.36
I2 0.1667 0.1667 0.1667  6 La 3.23
I3 0.2658 0.6083 0.9510  3 La 3.26-3.36
I4 0.3917 0.0490 0.7342  3 La 3.26-3.36
I5 0.6083 0.9510 0.2658  3 La 3.26-3.36
I6 0.7342 0.3917 0.0490  3 La 3.26-3.36
I7 0.8333 0.8333 0.8333  6 La 3.23
I8 0.9510 0.2658 0.6083  3 La 3.26-3.36

CsAcTmSe3: relaxed, PBE.

Output
space group: P2_1/m, No. 11
magnetization: 0.001 μB/f.u.
crystal system: monoclinic
formation energy (no corrections): -1587 meV per atom

abc: 9.9143 4.7666 11.0033
angles: 90.00 107.09 90.00
Last column: nearest neighbours and their distance in Å.
Fractional positions:
Cs1 0.2028 0.2500 0.2142  5 Se 3.72-3.88
Cs2 0.7972 0.7500 0.7858  5 Se 3.72-3.88
Ac1 0.3368 0.7500 0.8594  6 Se 3.08-3.29
Ac2 0.6632 0.2500 0.1406  6 Se 3.08-3.29
Tm1 0.0884 0.2500 0.6062  4 Se 2.69-2.80
Tm2 0.9116 0.7500 0.3938  4 Se 2.69-2.80
Se1 0.1196 0.2500 0.8574  1 Tm 2.69
Se2 0.1914 0.7500 0.5498  3 Tm 2.74-2.80
Se3 0.4623 0.7500 0.1506  3 Ac 3.08-3.13
Se4 0.5377 0.2500 0.8494  3 Ac 3.08-3.13
Se5 0.8086 0.2500 0.4502  3 Tm 2.74-2.80
Se6 0.8804 0.7500 0.1426  1 Tm 2.69

Li2Tm2Hg3: relaxed, PBE.

Output
space group: Cmmm, No. 65
magnetization: 0.000 μB/f.u.
crystal system: orthorhombic
energy of formation: -8.1 kcal/mol of atoms

abc: 12.0681 12.0681 3.5116
angles: 90.00 90.00 162.31
Last column: nearest neighbours and their distance in Å.
Fractional positions:
Li1 0.2114 0.7886 0.0000  2 Li 2.61, 4 Hg 2.86
Li2 0.7886 0.2114 0.0000  2 Li 2.61, 4 Hg 2.86
Tm1 0.0778 0.9222 0.0000  8 Hg 3.16-3.18, 1 Li 3.19, 2 Tm 3.51
Tm2 0.9222 0.0778 0.0000  8 Hg 3.16-3.18, 1 Li 3.19, 2 Tm 3.51
Hg1 0.3427 0.6573 0.5000  4 Li 2.86, 4 Tm 3.18
Hg2 0.5000 0.5000 0.5000  8 Tm 3.16, 2 Hg 3.51
Hg3 0.6573 0.3427 0.5000  4 Li 2.86, 4 Tm 3.18

SiP2Se: relaxed, PBE.

Output
space group: Fm-3m, No. 225
E above lowest polymorph: 0.776 eV per atom
magnetization: 0.000 μB/f.u.
crystal system: cubic
formation energy (no corrections): 723 meV per atom

abc: 4.4821 4.4821 4.4821
angles: 60.00 60.00 60.00
Last column: nearest neighbours and their distance in Å.
Fractional positions:
Si1 0.0000 0.0000 0.0000  8 P 2.74
P1 0.2500 0.2500 0.2500  4 Se 2.74, 4 Si 2.74
P2 0.7500 0.7500 0.7500  4 Si 2.74, 4 Se 2.74
Se1 0.5000 0.5000 0.5000  8 P 2.74

DyY6ErTm2: relaxed, PBE.

Output
space group: C2/c, No. 15
magnetization: 0.000 μB/f.u.
crystal system: monoclinic
energy of formation: 2.8 kcal/mol of atoms

abc: 8.7266 8.7266 9.5735
angles: 94.27 94.27 117.32
Last column: nearest neighbours and their distance in Å.
Fractional positions:
Dy1 0.0923 0.9077 0.7500  6 Y 3.38-3.52, 2 Tm 3.52
Dy2 0.9077 0.0923 0.2500  6 Y 3.38-3.52, 2 Tm 3.52
Y1 0.0046 0.7934 0.3815  4 Y 3.23-3.56, 3 Tm 3.24-3.41, 2 Dy 3.38-3.52
Y2 0.0696 0.5175 0.1832  3 Y 3.23-3.57, 2 Tm 3.37-3.61, 1 Dy 3.44, 1 Er 3.52
Y3 0.2066 0.9954 0.1185  4 Y 3.23-3.56, 3 Tm 3.24-3.41, 2 Dy 3.38-3.52
Y4 0.2543 0.6204 0.5556  7 Y 3.40-3.75, 1 Tm 3.44, 1 Er 3.61
Y5 0.3796 0.7457 0.9444  7 Y 3.40-3.75, 1 Tm 3.44, 1 Er 3.61
Y6 0.4825 0.9304 0.3168  3 Y 3.23-3.57, 2 Tm 3.37-3.61, 1 Dy 3.44, 1 Er 3.52
Y7 0.5175 0.0696 0.6832  3 Y 3.23-3.57, 2 Tm 3.37-3.61, 1 Dy 3.44, 1 Er 3.52
Y8 0.6204 0.2543 0.0556  7 Y 3.40-3.75, 1 Tm 3.44, 1 Er 3.61
Y9 0.7457 0.3796 0.4444  7 Y 3.40-3.75, 1 Tm 3.44, 1 Er 3.61
Y10 0.7934 0.0046 0.8815  4 Y 3.23-3.56, 3 Tm 3.24-3.41, 2 Dy 3.38-3.52
Y11 0.9304 0.4825 0.8168  3 Y 3.23-3.57, 2 Tm 3.37-3.61, 1 Dy 3.44, 1 Er 3.52
Y12 0.9954 0.2066 0.6185  4 Y 3.23-3.56, 3 Tm 3.24-3.41, 2 Dy 3.38-3.52
Er1 0.4755 0.5245 0.2500  4 Tm 3.37, 4 Y 3.52-3.61
Er2 0.5245 0.4755 0.7500  4 Tm 3.37, 4 Y 3.52-3.61
Tm1 0.2027 0.3047 0.9540  6 Y 3.24-3.61, 2 Er 3.37, 1 Dy 3.52
Tm2 0.3047 0.2027 0.4540  6 Y 3.24-3.61, 2 Er 3.37, 1 Dy 3.52
Tm3 0.6953 0.7973 0.5460  6 Y 3.24-3.61, 2 Er 3.37, 1 Dy 3.52
Tm4 0.7973 0.6953 0.0460  6 Y 3.24-3.61, 2 Er 3.37, 1 Dy 3.52